DFT (GGA-PBE) results for a relaxed structure of CaSm2Au.

Properties
Uncorrected energy = -16.0 eV for the cell shown
Calculated volume = 128.3 Å³ per cell
Formation enthalpy at 0 K = -0.33 eV/atom

abc: 3.684 3.684 9.454
angles: 90.00 90.00 90.00
Fractional positions:
Sm  0.000  0.000  0.185
Sm  0.000  0.000  0.815
Ca  0.500  0.500  0.500
Au  0.500  0.500  0.000

DFT (GGA-PBE) results for a relaxed structure of NaCaNb.

Properties
Uncorrected energy = -25.7 eV for the cell shown
Calculated volume = 182.8 Å³ per cell
Formation enthalpy at 0 K = 0.19 eV/atom

abc: 3.574 3.574 14.312
angles: 90.00 90.00 90.00
Fractional positions:
Na  0.500  0.000  0.400
Na  0.000  0.500  0.600
Ca  0.000  0.500  0.192
Ca  0.500  0.000  0.808
Nb  0.500  0.000  0.037
Nb  0.000  0.500  0.963

DFT (GGA-PBE) results for a relaxed structure of MgFe2Si2.

Properties
Uncorrected energy = -61.4 eV for the cell shown
Calculated volume = 123.4 Å³ per cell
Uncorrected formation energy = -266.0 meV per atom

abc: 6.752 6.752 2.706
angles: 90.00 90.00 90.00
Fractional positions:
Si  0.648  0.852  0.500
Si  0.852  0.352  0.500
Si  0.352  0.148  0.500
Si  0.148  0.648  0.500
Fe  0.645  0.145  0.000
Fe  0.145  0.355  0.000
Fe  0.355  0.855  0.000
Fe  0.855  0.645  0.000
Mg  0.500  0.500  0.000
Mg  0.000  0.000  0.000

DFT (GGA-PBE) results for a relaxed structure of HoNbGa2.

Properties
Uncorrected energy = -21.2 eV for the cell shown
Calculated volume = 81.4 Å³ per cell
Formation enthalpy at 0 K = -0.12 eV/atom

abc: 3.226 3.226 9.224
angles: 79.93 79.93 60.00
Fractional positions:
Ga  0.744  0.744  0.768
Ga  0.256  0.256  0.232
Nb  0.000  0.000  0.000
Ho  0.500  0.500  0.500